[1]
BaMg2GaHg: relaxed, PBE.

The energy is -2.015 eV per atom.

The structure belongs to space group I4mm (No. 107); the cell edges are 4.756, 4.756 and 12.164 Å and the angles 90.00°, 90.00° and 90.00°. Symmetry generates all atoms from Ba at (0.000, 0.000, 0.000), Mg at (0.000, 0.500, 0.238), Ga at (0.000, 0.000, 0.613) and Hg at (0.000, 0.000, 0.383).

[2]
BaHoGaSe3: relaxed, PBE.

The energy is -4.702 eV per atom. Its total magnetization is 0.00 μB per cell.

The structure belongs to space group Cmcm (No. 63); the cell edges are 4.185, 14.565 and 11.755 Å and the angles 90.00°, 90.00° and 90.00°. Symmetry generates all atoms from Ba at (0.000, 0.203, 0.250), Ho at (0.000, 0.500, 0.000), Ga at (0.000, 0.108, 0.750), Se at (0.000, 0.132, 0.509) and Se at (0.000, 0.488, 0.750).

[3]
BaInGaPt2: relaxed, PBE.

The energy is -4.713 eV per atom. Its total magnetization is 0.02 μB per cell.

The structure belongs to space group P4/nmm (No. 129, origin choice 2); the cell edges are 4.645, 4.645 and 10.729 Å and the angles 90.00°, 90.00° and 90.00°. Symmetry generates all atoms from Ba at (0.250, 0.250, 0.233), In at (0.250, 0.750, 0.500), Ga at (0.250, 0.250, 0.890), Pt at (0.250, 0.250, 0.649) and Pt at (0.250, 0.750, 0.000).

[4]
Ba2GaIr: relaxed, PBE.

The energy is -4.201 eV per atom. Its total magnetization is 0.82 μB per cell.

The structure belongs to space group I-42d (No. 122); the cell edges are 11.747, 11.747 and 4.869 Å and the angles 90.00°, 90.00° and 90.00°. Symmetry generates all atoms from Ba at (0.066, 0.750, 0.125), Ga at (0.000, 0.000, 0.500) and Ir at (0.000, 0.000, 0.000).